No. 1
# RbAcAg2I6

Crystalline RbAcAg2I6 at its relaxed geometry (PBE, Alexandria).

Symmetry: No. 1
Size of the total moment in μB/f.u.: 0.000
Formation energy (no corrections) in meV/atom: -989.9
N(E_F) in states/eV/f.u.: 0.0

Cell lengths 8.2178, 8.2184, 9.9809 Å; angles 90.01, 114.27, 119.99 degrees
Atoms (fractional coordinates):
Rb  0.0000  0.0000  0.0000
Ac  0.0001  0.5001  0.5000
Ag  0.4624  0.2310  0.6938
Ag  0.5373  0.7690  0.3056
I  0.1480  0.2507  0.7195
I  0.1768  0.4291  0.2791
I  0.4688  0.8971  0.7198
I  0.5316  0.1031  0.2792
I  0.8223  0.5712  0.7199
I  0.8513  0.7486  0.2798

---

No. 2
# AcPF

Crystalline AcPF at its relaxed geometry (PBE, Alexandria).

Symmetry: No. 216
Size of the total moment in μB/f.u.: 1.018
Formation energy (no corrections) in meV/atom: -1795.6
N(E_F) in states/eV/f.u.: 3.9

Cell lengths 4.8080, 4.8080, 4.8080 Å; angles 60.00, 60.00, 60.00 degrees
Atoms (fractional coordinates):
Ac  0.0000  0.0000  0.0000
P  0.7500  0.7500  0.7500
F  0.2500  0.2500  0.2500